# 1
Pm6GeAu2 | PBE | relaxed

Calculated values
E (eV/atom): -4.8273
Energy relative to the elements (eV/atom): -0.419

The structure in extended XYZ format:
```
9
Lattice="4.955 0.000 -0.184 0.000 7.243 0.000 -2.193 -3.621 7.787" Properties=species:S:1:pos:R:3 pbc="T T T"
Pm 0.093 1.785 2.537
Pm 2.669 -1.836 5.066
Pm 2.669 1.836 5.066
Pm 2.478 1.813 -0.092
Pm 0.093 5.457 2.537
Pm 2.478 5.430 -0.092
Ge 0.000 0.000 0.000
Au 2.573 3.621 2.495
Au 0.189 0.000 5.108
```

=====

# 2
BeAgRh2Pb | PBE | relaxed

Calculated values
E (eV/atom): -4.9077
Energy relative to the elements (eV/atom): 0.090

The structure in extended XYZ format:
```
5
Lattice="4.311 0.000 0.000 0.000 4.402 0.000 0.000 0.000 4.311" Properties=species:S:1:pos:R:3 pbc="T T T"
Pb 2.156 2.201 2.156
Be 0.000 0.000 0.000
Rh 0.000 0.000 2.156
Rh 2.156 0.000 0.000
Ag 0.000 2.201 0.000
```

=====

# 3
KMgTe2O8 | PBE | relaxed

Calculated values
Uncorrected formation energy (meV/atom): -1041
E (eV/atom): -5.0940

The structure in extended XYZ format:
```
12
Lattice="-5.272 -1.554 1.291 2.738 -2.546 -4.231 2.483 -4.726 4.449" Properties=species:S:1:pos:R:3 pbc="T T T"
K 1.241 -2.363 2.225
Mg 0.000 0.000 0.000
Te -2.479 -2.119 -0.329
Te 2.427 -6.707 1.838
O -1.026 -7.221 2.462
O 1.074 -5.518 3.100
O -1.296 -5.402 4.545
O 0.974 -1.605 -0.953
O -1.126 -3.308 -1.591
O 1.244 -3.423 -3.036
O -1.808 -3.397 0.874
O 1.756 -5.429 0.635
```

=====

# 4
Mg2ReSbPd | PBE | relaxed

Calculated values
Uncorrected formation energy (meV/atom): 848
E (eV/atom): -4.1427

The structure in extended XYZ format:
```
5
Lattice="-3.281 3.522 -0.103 -2.318 -2.046 3.910 2.721 2.622 2.985" Properties=species:S:1:pos:R:3 pbc="T T T"
Re -1.439 2.049 3.396
Mg 1.360 1.311 1.492
Mg -1.641 1.761 -0.051
Pd 0.000 0.000 0.000
Sb -1.159 -1.023 1.955
```

=====

# 5
Na2TiAu | PBE | relaxed

Calculated values
E (eV/atom): -3.0117
Energy relative to the elements (eV/atom): 0.441
Excess energy over the best structure of this formula in the dataset (meV per atom): 0

The structure in extended XYZ format:
```
8
Lattice="-0.369 -8.048 -2.813 5.624 -2.346 5.974 0.572 -5.709 3.314" Properties=species:S:1:pos:R:3 pbc="T T T"
Na 0.600 -7.082 -0.299
Na 3.627 -3.568 4.327
Na 2.168 -8.083 3.425
Na 5.259 -13.473 5.498
Au 0.000 0.000 0.000
Au 1.415 -9.477 1.041
Ti 2.628 -5.197 1.580
Ti 4.412 -6.626 5.434
```

=====

# 6
Co3HgBr | PBE | relaxed

Calculated values
Uncorrected formation energy (meV/atom): 1546
E (eV/atom): -3.1121
Excess energy over the best structure of this formula in the dataset (meV per atom): 497

The structure in extended XYZ format:
```
5
Lattice="4.914 0.000 0.000 0.000 4.914 0.000 0.000 0.000 4.914" Properties=species:S:1:pos:R:3 pbc="T T T"
Co 0.000 2.457 0.000
Co 0.000 0.000 2.457
Co 2.457 0.000 0.000
Hg 0.000 0.000 0.000
Br 2.457 2.457 2.457
```

=====

# 7
RuAu2C2 | PBE | relaxed

Calculated values
E (eV/atom): -5.1815
Energy relative to the elements (eV/atom): 1.674
Excess energy over the best structure of this formula in the dataset (meV per atom): 0

The structure in extended XYZ format:
```
5
Lattice="2.635 0.000 0.000 0.000 2.635 0.000 1.318 1.318 9.295" Properties=species:S:1:pos:R:3 pbc="T T T"
Ru 0.000 0.000 0.000
C 2.635 1.318 4.647
C 1.318 2.635 4.647
Au 1.318 1.318 2.239
Au 2.635 2.635 7.056
```

=====

# 8
Zr2TlOs | PBE | relaxed

Calculated values
E (eV/atom): -7.6905
Energy relative to the elements (eV/atom): -0.017
Excess energy over the best structure of this formula in the dataset (meV per atom): 240

The structure in extended XYZ format:
```
4
Lattice="-2.518 -4.143 -0.211 -4.689 0.072 -1.247 -1.396 -1.775 -4.296" Properties=species:S:1:pos:R:3 pbc="T T T"
Tl -4.302 -2.923 -2.877
Os 0.000 0.000 0.000
Zr -2.151 -1.461 -1.439
Zr -6.453 -4.384 -4.316
```

=====

# 9
CrFe2Tc | PBE | relaxed

Calculated values
E (eV/atom): -9.1435
Energy relative to the elements (eV/atom): 0.085

The structure in extended XYZ format:
```
4
Lattice="4.108 0.000 0.000 0.000 2.514 0.003 0.000 0.766 4.808" Properties=species:S:1:pos:R:3 pbc="T T T"
Cr 2.054 2.442 3.641
Tc 0.000 1.688 2.415
Fe 0.000 0.011 0.019
Fe 2.054 0.777 1.141
```

=====

# 10
Cd2CoRe | PBE | relaxed

Calculated values
E (eV/atom): -4.7446
Energy relative to the elements (eV/atom): 0.601
Excess energy over the best structure of this formula in the dataset (meV per atom): 377

The structure in extended XYZ format:
```
4
Lattice="-2.219 1.594 -0.147 -0.129 -0.428 -2.699 -5.126 -7.011 1.357" Properties=species:S:1:pos:R:3 pbc="T T T"
Cd -0.082 -0.112 0.022
Cd -2.481 -3.393 0.657
Co -2.456 -1.170 -1.083
Re -5.018 -4.675 -0.405
```

=====

# 11
YTaP2 | PBE | relaxed

Calculated values
E (eV/atom): -6.9971
Energy relative to the elements (eV/atom): 0.287
Excess energy over the best structure of this formula in the dataset (meV per atom): 1357

The structure in extended XYZ format:
```
4
Lattice="-1.678 -2.091 3.818 -3.510 -3.052 -0.364 0.779 -4.546 0.703" Properties=species:S:1:pos:R:3 pbc="T T T"
P 0.000 0.000 0.000
P -1.103 -2.422 1.039
Ta -2.205 -4.845 2.078
Y -3.308 -7.267 3.118
```

=====

# 12
Sm2In3Cu | PBE | relaxed

Calculated values
E (eV/atom): -4.0304
Energy relative to the elements (eV/atom): -0.405
Excess energy over the best structure of this formula in the dataset (meV per atom): 21

The structure in extended XYZ format:
```
12
Lattice="5.888 -0.031 -1.531 -1.946 5.558 -1.531 0.022 0.030 9.138" Properties=species:S:1:pos:R:3 pbc="T T T"
Sm 0.023 4.176 3.037
Sm 2.945 4.129 -2.288
Sm 3.941 1.382 3.037
Sm 0.997 1.398 -0.775
In 3.526 0.967 6.282
In 4.198 1.909 -0.207
In 0.438 4.590 -0.207
In -0.234 3.648 6.282
In 3.273 4.588 3.437
In 0.691 0.969 2.638
Cu 1.324 1.857 5.055
Cu 2.640 3.701 1.020
```

=====

# 13
PbAuSCl2 | PBE | relaxed

Calculated values
Uncorrected formation energy (meV/atom): -170
E (eV/atom): -3.1311
Excess energy over the best structure of this formula in the dataset (meV per atom): 0

The structure in extended XYZ format:
```
5
Lattice="4.931 0.000 0.000 0.000 4.931 0.000 0.000 0.000 4.934" Properties=species:S:1:pos:R:3 pbc="T T T"
Pb 2.465 2.465 2.467
S 0.000 0.000 2.467
Au 0.000 0.000 0.000
Cl 0.000 2.465 0.000
Cl 2.465 0.000 0.000
```

=====

# 14
HfFeAs2P | PBE | relaxed

Calculated values
E (eV/atom): -6.4711
Energy relative to the elements (eV/atom): 0.154
Excess energy over the best structure of this formula in the dataset (meV per atom): 0

The structure in extended XYZ format:
```
5
Lattice="-0.725 2.875 3.108 0.301 -3.708 3.500 4.226 0.680 0.357" Properties=species:S:1:pos:R:3 pbc="T T T"
P 1.901 -0.077 3.483
As 2.113 0.340 0.179
As -0.363 1.437 1.554
Hf 0.150 -1.854 1.750
Fe 0.000 0.000 0.000
```

=====

# 15
La3YBi3 | PBE | relaxed

Calculated values
E (eV/atom): -5.5718
Energy relative to the elements (eV/atom): -0.873

The structure in extended XYZ format:
```
28
Lattice="-4.659 -0.435 8.577 -3.737 -8.683 -2.471 7.732 -4.459 3.974" Properties=species:S:1:pos:R:3 pbc="T T T"
La -3.701 -3.960 6.968
La -0.620 -12.675 9.410
La -3.871 -7.678 6.662
La -1.388 -8.685 0.756
La -0.118 -2.410 1.789
La 0.662 -10.303 3.426
La 2.450 -6.319 1.750
La 4.209 -5.341 5.629
La 1.998 -6.762 8.283
La -0.449 -9.168 6.807
La 0.465 -2.757 6.417
La -3.623 -5.403 2.583
Y 4.694 -9.138 2.893
Y -0.166 -3.586 10.051
Y -0.284 -5.804 4.309
Y -5.573 -8.625 2.907
Bi 1.828 -10.256 8.902
Bi -2.068 -1.546 8.471
Bi -2.601 -9.823 9.193
Bi -0.611 -5.500 0.846
Bi 2.264 -3.482 3.754
Bi -4.429 -7.669 0.069
Bi 5.747 -6.111 2.838
Bi 2.162 -7.793 4.887
Bi -2.235 -2.909 4.229
Bi -0.812 -12.314 5.956
Bi -0.991 -5.747 7.435
Bi -2.240 -8.310 3.901
```

=====

# 16
MgZnAg2C | PBE | relaxed

Calculated values
E (eV/atom): -2.6301
Energy relative to the elements (eV/atom): 0.929

The structure in extended XYZ format:
```
5
Lattice="-1.186 -4.839 0.801 0.530 -0.722 -3.581 4.851 -1.035 0.927" Properties=species:S:1:pos:R:3 pbc="T T T"
C 0.265 -0.361 -1.790
Zn 0.000 0.000 0.000
Mg 2.098 -3.299 -0.926
Ag 2.426 -0.518 0.463
Ag -0.593 -2.420 0.400
```

=====

# 17
PrMg2Tl4 | PBE | relaxed

Calculated values
E (eV/atom): -2.6599
Energy relative to the elements (eV/atom): -0.169

The structure in extended XYZ format:
```
7
Lattice="5.113 0.000 0.000 0.000 5.113 0.000 0.000 0.000 7.494" Properties=species:S:1:pos:R:3 pbc="T T T"
Pr 2.556 2.556 0.000
Mg 0.000 0.000 0.000
Mg 2.556 2.556 3.747
Tl 2.556 0.000 2.111
Tl 0.000 2.556 5.382
Tl 2.556 0.000 5.382
Tl 0.000 2.556 2.111
```

=====

# 18
HoCdGe4 | PBE | relaxed

Calculated values
E (eV/atom): -4.1306
Energy relative to the elements (eV/atom): -0.137

The structure in extended XYZ format:
```
6
Lattice="5.606 0.000 0.000 2.803 4.855 0.000 2.803 1.618 4.577" Properties=species:S:1:pos:R:3 pbc="T T T"
Ge 5.606 3.236 0.576
Ge 5.606 1.622 2.859
Ge 7.004 4.044 2.859
Ge 4.208 4.044 2.859
Ho 2.803 1.618 1.144
Cd 0.000 0.000 0.000
```

=====

# 19
IrRu2W | PBE | relaxed

Calculated values
E (eV/atom): -9.7395
Energy relative to the elements (eV/atom): 0.352
Excess energy over the best structure of this formula in the dataset (meV per atom): 531

The structure in extended XYZ format:
```
4
Lattice="-4.230 -0.726 0.899 -2.963 3.154 -0.703 -2.898 -0.403 -3.266" Properties=species:S:1:pos:R:3 pbc="T T T"
Ru -2.523 0.506 -0.767
Ru -7.568 1.519 -2.302
Ir -5.046 1.013 -1.535
W 0.000 0.000 0.000
```

=====

# 20
Cs2KCaGa | PBE | relaxed

Calculated values
E (eV/atom): -1.2616
Energy relative to the elements (eV/atom): 0.305

The structure in extended XYZ format:
```
5
Lattice="-5.142 -4.936 3.553 4.187 -1.838 3.506 -1.869 5.710 5.227" Properties=species:S:1:pos:R:3 pbc="T T T"
Cs -0.935 2.855 2.613
Cs -2.571 -2.468 1.776
Ca 0.000 0.000 0.000
K -1.412 -0.532 6.143
Ga 2.094 -0.919 1.753
```